Record 1
NpPaZn2O8 | GGA-PBE | optimized geometry

Cell: 4.7538 4.7536 7.1370 Å, 87.33 87.33 86.98°
Closest atoms and distances in Å follow each position.
Sites, in units of the cell vectors:
O 0.6996 0.6997 0.5061  1 Pa 2.07, 2 Zn 2.07-2.12
O 0.1918 0.7992 0.7628  1 Zn 2.02, 1 Np 2.13
O 0.7993 0.1919 0.7628  1 Zn 2.02, 1 Np 2.13
O 0.8082 0.2008 0.2372  1 Zn 2.02, 1 Np 2.13
O 0.2007 0.8081 0.2372  1 Zn 2.02, 1 Np 2.13
O 0.3004 0.3003 0.4939  1 Pa 2.07, 2 Zn 2.07-2.12
O 0.2732 0.2731 0.9727  1 Np 1.88
O 0.7268 0.7269 0.0273  1 Np 1.88
Np 0.0000 0.0000 0.0000  2 O 1.88
Zn 0.4731 0.4731 0.7204  5 O 2.02-2.20
Zn 0.5269 0.5269 0.2796  5 O 2.02-2.20
Pa 0.0000 0.0000 0.5000  6 O 2.07-2.27

## Properties
The value obtained for the magnetic moment is 0.0 μB/cell. The total energy is -7.790 eV per atom. The uncorrected formation energy comes out at -2.40 eV/atom.

***

Record 2
LaTmNi2P2 | GGA-PBE | optimized geometry

Cell: 3.9410 3.9410 7.9128 Å, 90.00 90.00 120.00°
Closest atoms and distances in Å follow each position.
Sites, in units of the cell vectors:
P 0.3333 0.6667 0.2684  3 Ni 2.28
P 0.6667 0.3333 0.7316  3 Ni 2.28
Tm 0.0000 0.0000 0.5000  6 P 2.92, 6 Ni 2.94
Ni 0.3333 0.6667 0.7360  3 P 2.28
Ni 0.6667 0.3333 0.2640  3 P 2.28
La 0.0000 0.0000 0.0000  6 Ni 3.09, 6 P 3.11

## Properties
The formation enthalpy at 0 K is -1198.9 meV per atom. The value obtained for the magnetic moment is 0.0 μB/cell. The total energy is -6.496 eV per atom.

***

Record 3
MgZnTe2 | GGA-PBE | optimized geometry

Cell: 5.6132 4.3855 4.3876 Å, 81.40 90.00 90.00°
Closest atoms and distances in Å follow each position.
Sites, in units of the cell vectors:
Zn 0.0000 0.4805 0.4827  5 Te 2.72-2.94
Mg 0.5000 0.7798 0.7779  5 Te 2.86-2.90
Te 0.5000 0.3499 0.3487  3 Mg 2.86-2.90, 2 Zn 2.94
Te 0.0000 0.8899 0.8907  3 Zn 2.72-2.93, 2 Mg 2.90

## Properties
The value obtained for the magnetic moment is 0.0 μB/cell. The total energy is -2.765 eV per atom. The uncorrected formation energy comes out at -0.48 eV/atom.

***

Record 4
CdReP2 | GGA-PBE | optimized geometry

Cell: 6.1521 6.1521 6.1521 Å, 152.61 132.33 55.86°
Closest atoms and distances in Å follow each position.
Sites, in units of the cell vectors:
Re 0.2500 0.7500 0.5000  4 P 2.39
Cd 0.7500 0.2500 0.5000  4 Re 2.88, 2 Cd 2.91, 4 P 3.12
P 0.4239 0.4239 0.0000  2 Re 2.39
P 0.0761 0.0761 0.0000  2 Re 2.39

## Properties
The formation enthalpy at 0 K is 315.7 meV per atom. The value obtained for the magnetic moment is 0.0 μB/cell. The total energy is -5.730 eV per atom.

***

Record 5
Be3CoBi | GGA-PBE | optimized geometry

Cell: 4.1491 4.1491 4.1491 Å, 90.00 90.00 90.00°
Closest atoms and distances in Å follow each position.
Sites, in units of the cell vectors:
Be 0.0000 0.0000 0.5000  2 Co 2.07
Be 0.5000 0.0000 0.0000  2 Co 2.07
Be 0.0000 0.5000 0.0000  2 Co 2.07
Bi 0.5000 0.5000 0.5000  12 Be 2.93
Co 0.0000 0.0000 0.0000  6 Be 2.07

## Properties
The formation enthalpy at 0 K is 509.6 meV per atom. The value obtained for the magnetic moment is 0.0 μB/cell. The total energy is -3.924 eV per atom. As for the energy above the most stable polymorph in this dataset: 0.000 eV per atom.

***

Record 6
NpPaBiN2 | GGA-PBE | optimized geometry

Cell: 3.9419 3.9419 7.0154 Å, 106.32 106.32 90.00°
Closest atoms and distances in Å follow each position.
Sites, in units of the cell vectors:
N 0.2479 0.7479 0.4958  2 Pa 2.24, 2 Np 2.29
N 0.7479 0.2479 0.4958  2 Pa 2.24, 2 Np 2.29
Pa 0.1649 0.1649 0.3297  4 N 2.24
Np 0.8391 0.8391 0.6782  4 N 2.29
Bi 0.5002 0.5002 0.0004  4 Np 3.47, 4 Pa 3.50, 8 N 3.75-3.80

## Properties
The value obtained for the magnetic moment is 3.4 μB/cell. The total energy is -9.779 eV per atom. The uncorrected formation energy comes out at -1.19 eV/atom.

***

Record 7
CaMg4Sn5 | GGA-PBE | optimized geometry

Cell: 3.7696 3.7696 17.6601 Å, 90.00 90.00 90.00°
Closest atoms and distances in Å follow each position.
Sites, in units of the cell vectors:
Sn 0.5000 0.5000 0.3050  8 Mg 3.15-3.17, 2 Sn 3.29-3.44
Sn 0.5000 0.5000 0.5000  8 Mg 3.18, 2 Sn 3.44
Sn 0.5000 0.5000 0.8812  4 Mg 3.12, 1 Sn 3.29, 4 Ca 3.39
Sn 0.5000 0.5000 0.1188  4 Mg 3.12, 1 Sn 3.29, 4 Ca 3.39
Sn 0.5000 0.5000 0.6950  8 Mg 3.15-3.17, 2 Sn 3.29-3.44
Mg 0.0000 0.0000 0.4019  8 Sn 3.17-3.18, 2 Mg 3.39-3.46
Mg 0.0000 0.0000 0.5981  8 Sn 3.17-3.18, 2 Mg 3.39-3.46
Mg 0.0000 0.0000 0.2100  8 Sn 3.12-3.15, 1 Mg 3.39
Mg 0.0000 0.0000 0.7900  8 Sn 3.12-3.15, 1 Mg 3.39
Ca 0.0000 0.0000 0.0000  8 Sn 3.39, 2 Mg 3.71, 4 Ca 3.77

## Properties
The formation enthalpy at 0 K is -198.4 meV per atom. The value obtained for the magnetic moment is 0.0 μB/cell. The total energy is -3.038 eV per atom.

***

Record 8
UMn2Sb | GGA-PBE | optimized geometry

Cell: 3.4498 4.4591 4.4591 Å, 90.00 90.00 90.00°
Closest atoms and distances in Å follow each position.
Sites, in units of the cell vectors:
Mn 0.0000 0.0000 0.5000  4 Sb 2.82, 4 U 2.82, 4 Mn 3.15
Mn 0.0000 0.5000 0.0000  4 Sb 2.82, 4 U 2.82, 4 Mn 3.15
U 0.5000 0.0000 0.0000  8 Mn 2.82, 4 Sb 3.15
Sb 0.5000 0.5000 0.5000  8 Mn 2.82, 4 U 3.15

## Properties
The value obtained for the magnetic moment is 1.8 μB/cell. The total energy is -8.373 eV per atom. The uncorrected formation energy comes out at 0.06 eV/atom.

***

Record 9
Ti6ZnNi | GGA-PBE | optimized geometry

Cell: 5.2487 5.2487 7.4826 Å, 110.51 110.51 120.04°
Closest atoms and distances in Å follow each position.
Sites, in units of the cell vectors:
Ti 0.3108 0.7458 0.7458  1 Ni 2.63, 1 Zn 2.66, 6 Ti 2.69-2.80
Ti 0.2542 0.6892 0.2542  1 Ni 2.63, 1 Zn 2.66, 6 Ti 2.69-2.80
Ti 0.8189 0.8189 0.2541  1 Ni 2.63, 1 Zn 2.66, 6 Ti 2.69-2.79
Ti 0.1811 0.1811 0.7459  1 Ni 2.63, 1 Zn 2.66, 6 Ti 2.69-2.79
Ti 0.7458 0.3108 0.7458  1 Ni 2.63, 1 Zn 2.66, 6 Ti 2.69-2.80
Ti 0.6892 0.2542 0.2542  1 Ni 2.63, 1 Zn 2.66, 6 Ti 2.69-2.80
Ni 0.5000 0.5000 0.5000  6 Ti 2.63, 2 Zn 2.67
Zn 0.0000 0.0000 0.0000  6 Ti 2.66, 2 Ni 2.67

## Properties
The formation enthalpy at 0 K is 62.5 meV per atom. The value obtained for the magnetic moment is 0.0 μB/cell. The total energy is -6.741 eV per atom. As for the energy above the most stable polymorph in this dataset: 0.145 eV per atom.

***

Record 10
Y2TmS3 | GGA-PBE | optimized geometry

Cell: 3.9029 5.4959 6.7394 Å, 114.06 106.83 90.00°
Closest atoms and distances in Å follow each position.
Sites, in units of the cell vectors:
S 0.1621 0.6621 0.8241  2 Tm 2.72, 4 Y 2.75-2.77
S 0.5000 0.0000 0.5000  2 Tm 2.75, 4 Y 2.78
S 0.8379 0.3379 0.1759  2 Tm 2.72, 4 Y 2.75-2.77
Y 0.8305 0.8305 0.1609  6 S 2.75-2.78
Y 0.1695 0.1695 0.8391  6 S 2.75-2.78
Tm 0.5000 0.5000 0.5000  6 S 2.72-2.75

## Properties
The value obtained for the magnetic moment is 0.0 μB/cell. The total energy is -6.936 eV per atom. The uncorrected formation energy comes out at -1.97 eV/atom.

***

Record 11
AcZn8Pd4 | GGA-PBE | optimized geometry

Cell: 5.5043 6.9117 6.9117 Å, 80.88 66.53 66.53°
Closest atoms and distances in Å follow each position.
Sites, in units of the cell vectors:
Pd 0.0000 0.5000 0.0000  8 Zn 2.64-2.79, 2 Pd 2.75
Pd 0.5000 0.5000 0.0000  8 Zn 2.64-2.79, 2 Pd 2.75
Pd 0.5000 0.0000 0.5000  8 Zn 2.64-2.79, 2 Pd 2.75
Pd 0.0000 0.0000 0.5000  8 Zn 2.64-2.79, 2 Pd 2.75
Ac 0.0000 0.0000 0.0000  12 Zn 3.18-3.41, 8 Pd 3.46
Zn 0.5000 0.7747 0.2253  4 Pd 2.64, 4 Zn 2.79-2.86
Zn 0.3549 0.6451 0.6451  3 Zn 2.60-2.79, 4 Pd 2.79
Zn 0.6451 0.3549 0.3549  3 Zn 2.60-2.79, 4 Pd 2.79
Zn 0.0000 0.3549 0.6451  3 Zn 2.60-2.79, 4 Pd 2.79
Zn 0.7253 0.7747 0.7747  4 Pd 2.64, 4 Zn 2.79-2.86
Zn 0.2747 0.2253 0.2253  4 Pd 2.64, 4 Zn 2.79-2.86
Zn 0.0000 0.6451 0.3549  3 Zn 2.60-2.79, 4 Pd 2.79
Zn 0.5000 0.2253 0.7747  4 Pd 2.64, 4 Zn 2.79-2.86

## Properties
The formation enthalpy at 0 K is -430.8 meV per atom. The value obtained for the magnetic moment is 0.0 μB/cell. The total energy is -3.129 eV per atom.

***

Record 12
BaMg3Bi | GGA-PBE | optimized geometry

Cell: 5.7665 5.7665 5.7665 Å, 90.00 90.00 90.00°
Closest atoms and distances in Å follow each position.
Sites, in units of the cell vectors:
Mg 0.5000 0.0000 0.0000  2 Bi 2.88
Mg 0.0000 0.5000 0.0000  2 Bi 2.88
Mg 0.0000 0.0000 0.5000  2 Bi 2.88
Bi 0.0000 0.0000 0.0000  6 Mg 2.88
Ba 0.5000 0.5000 0.5000  12 Mg 4.08

## Properties
The formation enthalpy at 0 K is 144.2 meV per atom. The value obtained for the magnetic moment is 0.0 μB/cell. The total energy is -1.973 eV per atom. As for the energy above the most stable polymorph in this dataset: 0.000 eV per atom.